No. 1
Below is an optimized crystal structure of Pr2Nd2Ru, with properties calculated at the GGA-PBE level.

The structure belongs to space group I4_1/amd (No. 141, origin choice 2); the cell edges are 5.013, 5.013 and 25.347 Å and the angles 90.00°, 90.00° and 90.00°. The distinct sites, in fractional coordinates, are Pr at (0.000, 0.250, 0.056), Nd at (0.000, 0.250, 0.190) and Ru at (0.000, 0.250, 0.875).

For the density of states at the Fermi level, the calculation gives 20.4 states/eV per cell. The total energy is -113.8 eV per cell. Its formation energy is -0.015 eV/atom. For the total magnetic moment, the calculation gives 0.000 μB/f.u.


No. 2
Below is an optimized crystal structure of PrNd3Ru8, with properties calculated at the GGA-PBE level.

The structure belongs to space group R3m (No. 160, hexagonal axes); the cell edges are 5.4282, 5.4282 and 26.7049 Å and the angles 90.00°, 90.00° and 120.00°. The distinct sites, in fractional coordinates, are Pr at (0.0000, 0.0000, 0.0000), Nd at (0.0000, 0.0000, 0.1249), Nd at (0.0000, 0.0000, 0.5001), Nd at (0.0000, 0.0000, 0.6249), Ru at (0.0000, 0.0000, 0.3180), Ru at (0.0000, 0.0000, 0.8181), Ru at (0.1711, 0.3422, 0.3969) and Ru at (0.1716, 0.3432, 0.8964).

For the density of states at the Fermi level, the calculation gives 50.2 states/eV per cell. The total energy is -284.4 eV per cell. Its formation energy is -0.126 eV/atom. For the total magnetic moment, the calculation gives 0.000 μB/f.u.